A relaxed MoPbF5 crystal. Source: the Alexandria database, functional PBE with a Hubbard U.

Uncorrected energy ... -75.4 eV/cell

a = 6.079 Å, b = 6.079 Å, c = 8.251 Å
α = 109.63°, β = 109.63°, γ = 72.45°
Element x y z (fractional)
Mo (0.000, 0.000, 0.000)
Mo (0.000, 0.000, 0.500)
Pb (0.469, 0.531, 0.750)
Pb (0.531, 0.469, 0.250)
F (0.074, 0.926, 0.750)
F (0.231, 0.234, 0.114)
F (0.234, 0.231, 0.614)
F (0.290, 0.707, 0.462)
F (0.293, 0.710, 0.038)
F (0.707, 0.290, 0.962)
F (0.710, 0.293, 0.538)
F (0.766, 0.769, 0.386)
F (0.769, 0.766, 0.886)
F (0.926, 0.074, 0.250)